No. 1
Material: KCu2Au
Method: DFT, GGA-PBEsol
State: optimized geometry

Unit cell a=4.631 b=4.631 c=4.631 alpha=60.00 beta=60.00 gamma=60.00
Positions (direct):
K (0.000, 0.000, 0.000)
Cu (0.250, 0.250, 0.250)
Cu (0.750, 0.750, 0.750)
Au (0.500, 0.500, 0.500)

## Properties
Relative energy among the computed polymorphs (eV per formula unit): 0.91
Calculated volume (Å³ per cell): 70.2
Total magnetization (μB per cell): 0.0
Uncorrected energy (eV for the cell shown): -11.736
Formation enthalpy at 0 K (eV/f.u.): 2.0
Space-group type: No. 225

***

No. 2
Material: K2CuNiAu
Method: DFT, GGA-PBEsol
State: optimized geometry

Unit cell a=5.846 b=5.846 c=4.653 alpha=90.00 beta=90.00 gamma=90.00
Positions (direct):
K (0.000, 0.500, 0.000)
K (0.500, 0.000, 0.000)
Cu (0.000, 0.000, 0.500)
Ni (0.500, 0.500, 0.000)
Au (0.500, 0.500, 0.500)

## Properties
Calculated volume (Å³ per cell): 159.0
Total magnetization (μB per cell): 0.7
Uncorrected energy (eV for the cell shown): -12.899
Formation enthalpy at 0 K (eV/f.u.): 3.8
Space-group type: No. 123

***

No. 3
Material: LaCu4Au
Method: DFT, GGA-PBEsol
State: optimized geometry

Unit cell a=5.065 b=5.065 c=5.065 alpha=60.00 beta=60.00 gamma=60.00
Positions (direct):
La (0.000, 0.000, 0.000)
Cu (0.377, 0.377, 0.377)
Cu (0.377, 0.377, 0.870)
Cu (0.377, 0.870, 0.377)
Cu (0.870, 0.377, 0.377)
Au (0.750, 0.750, 0.750)

## Properties
Calculated volume (Å³ per cell): 91.9
Total magnetization (μB per cell): 0.0
Uncorrected energy (eV for the cell shown): -28.195
Formation enthalpy at 0 K (eV/f.u.): -1.6
Space-group type: No. 216

***

No. 4
Material: LaCuAu2
Method: DFT, GGA-PBEsol
State: optimized geometry

Unit cell a=5.506 b=5.506 c=5.506 alpha=47.68 beta=47.68 gamma=47.68
Positions (direct):
La (0.000, 0.000, 0.000)
Cu (0.500, 0.500, 0.500)
Au (0.214, 0.214, 0.214)
Au (0.786, 0.786, 0.786)

## Properties
Calculated volume (Å³ per cell): 83.5
Total magnetization (μB per cell): 0.0
Uncorrected energy (eV for the cell shown): -19.608
Formation enthalpy at 0 K (eV/f.u.): -2.1
Space-group type: No. 166

***

No. 5
Material: LaCuAu2
Method: DFT, GGA-PBEsol
State: optimized geometry

Unit cell a=4.450 b=4.450 c=4.142 alpha=90.00 beta=90.00 gamma=90.00
Positions (direct):
La (0.000, 0.000, 0.000)
Cu (0.500, 0.500, 0.000)
Au (0.000, 0.500, 0.500)
Au (0.500, 0.000, 0.500)

## Properties
Calculated volume (Å³ per cell): 82.0
Total magnetization (μB per cell): 0.0
Uncorrected energy (eV for the cell shown): -18.457
Formation enthalpy at 0 K (eV/f.u.): -0.9
Space-group type: No. 123

***

No. 6
Material: LaCu2Au
Method: DFT, GGA-PBEsol
State: optimized geometry

Unit cell a=3.348 b=3.348 c=6.470 alpha=90.00 beta=90.00 gamma=90.00
Positions (direct):
La (0.000, 0.000, 0.000)
Cu (0.500, 0.500, 0.309)
Cu (0.500, 0.500, 0.691)
Au (0.000, 0.000, 0.500)

## Properties
Calculated volume (Å³ per cell): 72.5
Total magnetization (μB per cell): 0.0
Uncorrected energy (eV for the cell shown): -18.441
Formation enthalpy at 0 K (eV/f.u.): -0.5
Space-group type: No. 123